[1]
This record from Alexandria describes an optimized crystal structure of Nd2Ho2Al. The functional is PBE.

Unit cell a=4.9430 b=4.9430 c=8.9708 alpha=74.01 beta=74.01 gamma=60.00
Last column: nearest neighbours and their distance in Å.
Positions (direct):
1 Nd 0.4346 0.4346 0.6963  4 Ho 3.34-3.44, 1 Nd 3.34
2 Nd 0.5654 0.5654 0.3037  4 Ho 3.34-3.44, 1 Nd 3.34
3 Ho 0.2999 0.2999 0.1004  3 Al 2.98, 3 Ho 3.33
4 Al 0.0000 0.0000 0.0000  6 Ho 2.98
5 Ho 0.7001 0.7001 0.8996  3 Al 2.98, 3 Ho 3.33

- space group = R-3m (166)
- energy of formation (eV/atom) = 0.419
- energy above the most stable polymorph in this dataset (meV per atom) = 570



[2]
This record from Alexandria describes an optimized crystal structure of HoZnSn. The functional is PBE.

Unit cell a=4.5954 b=5.9496 c=5.9496 alpha=90.87 beta=67.21 gamma=67.21
Last column: nearest neighbours and their distance in Å.
Positions (direct):
1 Sn 0.9797 0.3927 0.7518  2 Zn 2.71-2.72
2 Ho 0.7290 0.3236 0.3236  6 Zn 3.15-3.44, 6 Sn 3.23-3.26, 2 Ho 3.46-3.50
3 Ho 0.2302 0.8212 0.8212  6 Zn 3.15-3.43, 6 Sn 3.23-3.26, 2 Ho 3.46-3.50
4 Zn 0.4789 0.2229 0.9232  1 Zn 2.54, 2 Sn 2.71-2.72
5 Sn 0.9797 0.7518 0.3927  2 Zn 2.71-2.72
6 Zn 0.4789 0.9232 0.2229  1 Zn 2.54, 2 Sn 2.71-2.72

- space group = C2/m (12)
- energy of formation (eV/atom) = -0.484



[3]
This record from Alexandria describes an optimized crystal structure of MnZn2Fe. The functional is PBE.

Unit cell a=4.1834 b=4.1834 c=4.1834 alpha=60.00 beta=60.00 gamma=60.00
Last column: nearest neighbours and their distance in Å.
Positions (direct):
1 Zn 0.2500 0.2500 0.2500  4 Mn 2.56, 4 Fe 2.56
2 Fe 0.5000 0.5000 0.5000  8 Zn 2.56
3 Mn 0.0000 0.0000 0.0000  8 Zn 2.56
4 Zn 0.7500 0.7500 0.7500  4 Mn 2.56, 4 Fe 2.56

- space group = Fm-3m (225)
- energy of formation (eV/atom) = 0.096
- energy above the most stable polymorph in this dataset (meV per atom) = 81



[4]
This record from Alexandria describes an optimized crystal structure of Tb6Pt23. The functional is PBE.

Unit cell a=9.1279 b=9.1279 c=9.1279 alpha=60.00 beta=60.00 gamma=60.00
Last column: nearest neighbours and their distance in Å.
Positions (direct):
1 Pt 0.6209 0.6209 0.6209  7 Pt 2.70-2.87, 3 Tb 3.01
2 Pt 0.5000 0.5000 0.5000  8 Pt 2.70
3 Pt 0.8336 0.8336 0.4993  6 Pt 2.63-2.87
4 Tb 0.2201 0.7799 0.2201  12 Pt 3.01-3.25
5 Pt 0.8336 0.8336 0.8336  6 Pt 2.63-2.87
6 Pt 0.4993 0.8336 0.8336  6 Pt 2.63-2.87
7 Pt 0.1664 0.5007 0.1664  6 Pt 2.63-2.87
8 Pt 0.5000 0.0000 0.0000  8 Pt 2.63-2.83
9 Pt 0.3791 0.8626 0.3791  7 Pt 2.70-2.87, 3 Tb 3.01
10 Tb 0.7799 0.2201 0.2201  12 Pt 3.01-3.25
11 Pt 0.3791 0.3791 0.8626  7 Pt 2.70-2.87, 3 Tb 3.01
12 Pt 0.0000 0.0000 0.5000  8 Pt 2.63-2.83
13 Pt 0.0000 0.5000 0.5000  8 Pt 2.63-2.83
14 Tb 0.7799 0.7799 0.2201  12 Pt 3.01-3.25
15 Pt 0.3791 0.3791 0.3791  7 Pt 2.70-2.87, 3 Tb 3.01
16 Pt 0.0000 0.5000 0.0000  8 Pt 2.63-2.83
17 Pt 0.1664 0.1664 0.1664  6 Pt 2.63-2.87
18 Pt 0.6209 0.6209 0.1374  7 Pt 2.70-2.87, 3 Tb 3.01
19 Pt 0.5000 0.5000 0.0000  8 Pt 2.63-2.83
20 Pt 0.1664 0.1664 0.5007  6 Pt 2.63-2.87
21 Pt 0.1374 0.6209 0.6209  7 Pt 2.70-2.87, 3 Tb 3.01
22 Pt 0.8626 0.3791 0.3791  7 Pt 2.70-2.87, 3 Tb 3.01
23 Pt 0.6209 0.1374 0.6209  7 Pt 2.70-2.87, 3 Tb 3.01
24 Tb 0.7799 0.2201 0.7799  12 Pt 3.01-3.25
25 Tb 0.2201 0.7799 0.7799  12 Pt 3.01-3.25
26 Pt 0.8336 0.4993 0.8336  6 Pt 2.63-2.87
27 Tb 0.2201 0.2201 0.7799  12 Pt 3.01-3.25
28 Pt 0.5000 0.0000 0.5000  8 Pt 2.63-2.83
29 Pt 0.5007 0.1664 0.1664  6 Pt 2.63-2.87

- space group = Fm-3m (225)
- energy of formation (eV/atom) = -0.750



[5]
This record from Alexandria describes an optimized crystal structure of NdNpN4. The functional is PBE.

Unit cell a=4.3926 b=4.3926 c=4.3492 alpha=90.00 beta=90.00 gamma=90.00
Last column: nearest neighbours and their distance in Å.
Positions (direct):
1 N 0.0000 0.0000 0.1676  1 N 1.46
2 N 0.5000 0.5000 0.8324  1 N 1.46
3 Np 0.0000 0.5000 0.0000  8 N 2.31
4 N 0.0000 0.0000 0.8324  1 N 1.46
5 N 0.5000 0.5000 0.1676  1 N 1.46
6 Nd 0.5000 0.0000 0.5000  8 N 2.63

- formation energy from raw total energies (meV per atom) = -587
- space group = P4/mmm (123)
- energy above the most stable polymorph in this dataset (meV per atom) = 342



[6]
This record from Alexandria describes an optimized crystal structure of Tm5Zr. The functional is PBE.

Unit cell a=4.8683 b=4.8476 c=7.6620 alpha=108.44 beta=90.00 gamma=90.00
Last column: nearest neighbours and their distance in Å.
Positions (direct):
1 Zr 0.0000 0.0000 0.0000  12 Tm 3.36-3.44
2 Tm 0.0000 0.3396 0.6793  2 Zr 3.36, 10 Tm 3.37-3.56
3 Tm 0.5000 0.8392 0.6784  10 Tm 3.37-3.56, 2 Zr 3.37
4 Tm 0.5000 0.5000 0.0000  8 Tm 3.37, 4 Zr 3.44
5 Tm 0.0000 0.6604 0.3207  2 Zr 3.36, 10 Tm 3.37-3.56
6 Tm 0.5000 0.1608 0.3216  10 Tm 3.37-3.56, 2 Zr 3.37

- space group = Cmmm (65)
- energy of formation (eV/atom) = 0.051
- energy above the most stable polymorph in this dataset (meV per atom) = 0



[7]
This record from Alexandria describes an optimized crystal structure of BaAg4Bi. The functional is PBE.

Unit cell a=5.9134 b=5.9134 c=5.9134 alpha=60.00 beta=60.00 gamma=60.00
Last column: nearest neighbours and their distance in Å.
Positions (direct):
1 Ag 0.6252 0.6252 0.6252  6 Ag 2.95-2.96
2 Ag 0.6252 0.1243 0.6252  6 Ag 2.95-2.96
3 Ag 0.6252 0.6252 0.1243  6 Ag 2.95-2.96
4 Ag 0.1243 0.6252 0.6252  6 Ag 2.95-2.96
5 Ba 0.2500 0.2500 0.2500  12 Ag 3.47, 4 Bi 3.62
6 Bi 0.0000 0.0000 0.0000  12 Ag 3.47, 4 Ba 3.62

- space group = F-43m (216)
- energy of formation (eV/atom) = -0.202



[8]
This record from Alexandria describes an optimized crystal structure of NaLiCN2. The functional is PBE.

Unit cell a=4.3423 b=5.1185 c=6.0540 alpha=90.89 beta=90.00 gamma=90.00
Last column: nearest neighbours and their distance in Å.
Positions (direct):
1 N 0.2044 0.8297 0.4984  1 C 1.24
2 Li 0.5025 0.0000 0.7500  4 N 2.16-2.17
3 Na 0.9820 0.5000 0.2500  4 N 2.43-2.44
4 C 0.0000 0.0000 0.0000  2 N 1.24
5 Li 0.4975 0.0000 0.2500  4 N 2.16-2.17
6 Na 0.0180 0.5000 0.7500  4 N 2.43-2.44
7 N 0.7956 0.8297 0.9984  1 C 1.24
8 N 0.2044 0.1703 0.0016  1 C 1.24
9 C 0.0000 0.0000 0.5000  2 N 1.24
10 N 0.7956 0.1703 0.5016  1 C 1.24

- formation energy from raw total energies (meV per atom) = -509
- space group = P2/c (13)



Copy entry 8 word for word.
This record from Alexandria describes an optimized crystal structure of NaLiCN2. The functional is PBE.

Unit cell a=4.3423 b=5.1185 c=6.0540 alpha=90.89 beta=90.00 gamma=90.00
Last column: nearest neighbours and their distance in Å.
Positions (direct):
1 N 0.2044 0.8297 0.4984  1 C 1.24
2 Li 0.5025 0.0000 0.7500  4 N 2.16-2.17
3 Na 0.9820 0.5000 0.2500  4 N 2.43-2.44
4 C 0.0000 0.0000 0.0000  2 N 1.24
5 Li 0.4975 0.0000 0.2500  4 N 2.16-2.17
6 Na 0.0180 0.5000 0.7500  4 N 2.43-2.44
7 N 0.7956 0.8297 0.9984  1 C 1.24
8 N 0.2044 0.1703 0.0016  1 C 1.24
9 C 0.0000 0.0000 0.5000  2 N 1.24
10 N 0.7956 0.1703 0.5016  1 C 1.24

- formation energy from raw total energies (meV per atom) = -509
- space group = P2/c (13)